Entry 1:
# Y2AgOs

Y2AgOs after structural relaxation (PBEsol, Alexandria).

```
8
Lattice="4.188 0.000 0.000 0.000 4.188 0.000 0.000 0.000 9.256" Properties=species:S:1:pos:R:3 pbc="T T T"
Y 0.000 0.000 0.000
Y 0.000 2.094 2.314
Y 2.094 0.000 6.942
Y 2.094 2.094 4.628
Ag 0.000 0.000 4.628
Ag 2.094 2.094 0.000
Os 0.000 2.094 6.942
Os 2.094 0.000 2.314
```

Properties
SG: I-4m2
Formation energy from the elements (eV/atom): 0.03
V (Å³ per atom): 20.30

Entry 2:
# PRhCl2

PRhCl2 after structural relaxation (PBEsol, Alexandria).

```
12
Lattice="3.356 0.000 0.000 -1.678 2.907 0.000 0.000 0.000 23.048" Properties=species:S:1:pos:R:3 pbc="T T T"
P 0.000 0.000 0.000
P 0.000 1.938 15.365
P 1.678 0.969 7.683
Rh 0.000 0.000 11.524
Rh 0.000 1.938 3.841
Rh 1.678 0.969 19.206
Cl 0.000 0.000 2.358
Cl 0.000 0.000 20.690
Cl 0.000 1.938 13.007
Cl 0.000 1.938 17.723
Cl 1.678 0.969 5.325
Cl 1.678 0.969 10.041
```

Properties
Energy relative to the lowest polymorph listed for this composition (meV/atom): 1170
Formation energy (no corrections) (meV per atom): 405
SG: R-3m
V (Å³ per atom): 18.74

Entry 3:
# Sb2AsIrAu

Sb2AsIrAu after structural relaxation (PBEsol, Alexandria).

```
5
Lattice="5.302 0.000 0.000 0.000 5.302 0.000 0.000 0.000 4.471" Properties=species:S:1:pos:R:3 pbc="T T T"
Sb 0.000 2.651 0.000
Sb 2.651 0.000 0.000
As 0.000 0.000 0.000
Ir 0.000 0.000 2.236
Au 2.651 2.651 2.236
```

Properties
Formation energy (no corrections) (meV per atom): 1037
SG: P4/mmm
V (Å³ per atom): 25.14

Entry 4:
# MnFeSi2

MnFeSi2 after structural relaxation (PBEsol, Alexandria).

```
4
Lattice="3.884 0.000 0.000 0.000 3.884 0.000 0.000 0.000 2.745" Properties=species:S:1:pos:R:3 pbc="T T T"
Mn 0.000 0.000 0.000
Fe 1.942 1.942 0.000
Si 0.000 1.942 1.372
Si 1.942 0.000 1.372
```

Properties
Formation energy (no corrections) (meV per atom): -541
SG: P4/mmm
V (Å³ per atom): 10.35

Entry 5:
# LiCa

LiCa after structural relaxation (PBEsol, Alexandria).

```
8
Lattice="3.910 0.000 0.000 0.000 12.453 0.000 0.000 0.000 5.117" Properties=species:S:1:pos:R:3 pbc="T T T"
Li 0.000 0.862 1.279
Li 0.000 11.591 3.838
Li 1.955 5.365 3.838
Li 1.955 7.088 1.279
Ca 0.000 4.297 1.279
Ca 0.000 8.156 3.838
Ca 1.955 1.930 3.838
Ca 1.955 10.523 1.279
```

Properties
Energy relative to the lowest polymorph listed for this composition (meV/atom): 22
SG: Cmcm
Formation energy from the elements (eV/atom): 0.03
V (Å³ per atom): 31.14

Entry 6:
# KTlCl2

KTlCl2 after structural relaxation (PBEsol, Alexandria).

```
16
Lattice="7.500 0.000 0.000 0.000 7.500 0.000 0.000 0.000 7.500" Properties=species:S:1:pos:R:3 pbc="T T T"
K 0.000 0.000 0.000
K 0.000 3.750 3.750
K 3.750 0.000 3.750
K 3.750 3.750 0.000
Tl 0.000 0.000 3.750
Tl 0.000 3.750 0.000
Tl 3.750 0.000 0.000
Tl 3.750 3.750 3.750
Cl 1.875 1.875 1.875
Cl 1.875 1.875 5.625
Cl 1.875 5.625 1.875
Cl 1.875 5.625 5.625
Cl 5.625 1.875 1.875
Cl 5.625 1.875 5.625
Cl 5.625 5.625 1.875
Cl 5.625 5.625 5.625
```

Properties
Energy relative to the lowest polymorph listed for this composition (meV/atom): 38
Formation energy (no corrections) (meV per atom): -1398
SG: Fm-3m
V (Å³ per atom): 26.36

Entry 7:
# ZnFeSb4

ZnFeSb4 after structural relaxation (PBEsol, Alexandria).

```
6
Lattice="0.000 4.276 4.276 4.276 0.000 4.276 4.276 4.276 0.000" Properties=species:S:1:pos:R:3 pbc="T T T"
Zn 0.000 0.000 0.000
Fe 2.138 2.138 2.138
Sb 5.349 3.204 3.204
Sb 3.204 5.349 3.204
Sb 3.204 3.204 5.349
Sb 5.349 5.349 5.349
```

Properties
Formation energy (no corrections) (meV per atom): 854
SG: F-43m
V (Å³ per atom): 26.07

Entry 8:
# Cr2CdCu

Cr2CdCu after structural relaxation (PBEsol, Alexandria).

```
8
Lattice="3.868 0.000 0.000 0.000 3.868 0.000 0.000 0.000 7.637" Properties=species:S:1:pos:R:3 pbc="T T T"
Cr 0.000 0.000 0.000
Cr 0.000 1.934 1.909
Cr 1.934 0.000 5.727
Cr 1.934 1.934 3.818
Cd 0.000 1.934 5.727
Cd 1.934 0.000 1.909
Cu 0.000 0.000 3.818
Cu 1.934 1.934 0.000
```

Properties
SG: I-4m2
Formation energy from the elements (eV/atom): 0.44
V (Å³ per atom): 14.28

Entry 9:
# CsBePb3

CsBePb3 after structural relaxation (PBEsol, Alexandria).

```
5
Lattice="5.313 0.000 0.000 0.000 5.313 0.000 0.000 0.000 5.313" Properties=species:S:1:pos:R:3 pbc="T T T"
Cs 0.000 0.000 0.000
Be 2.657 2.657 2.657
Pb 0.000 2.657 2.657
Pb 2.657 0.000 2.657
Pb 2.657 2.657 0.000
```

Properties
SG: Pm-3m
Formation energy from the elements (eV/atom): 0.27
V (Å³ per atom): 30.00

Entry 10:
# NbCdFe2S

NbCdFe2S after structural relaxation (PBEsol, Alexandria).

```
5
Lattice="4.073 0.000 0.000 0.000 4.073 0.000 0.000 0.000 4.886" Properties=species:S:1:pos:R:3 pbc="T T T"
Nb 0.000 0.000 0.000
Cd 2.036 2.036 0.000
Fe 0.000 2.036 2.443
Fe 2.036 0.000 2.443
S 2.036 2.036 2.443
```

Properties
Formation energy (no corrections) (meV per atom): 675
SG: P4/mmm
V (Å³ per atom): 16.21

Entry 11:
# LiTi8O16

LiTi8O16 after structural relaxation (PBEsol, Alexandria).

```
50
Lattice="5.897 -4.926 0.000 5.897 4.926 0.000 0.000 0.000 9.521" Properties=species:S:1:pos:R:3 pbc="T T T"
Li 5.897 3.356 4.761
Li 5.897 -3.356 0.000
Ti 1.479 1.032 5.720
Ti 2.938 1.496 3.051
Ti 5.897 3.401 7.830
Ti 1.479 -1.032 0.960
Ti 4.403 0.971 5.597
Ti 5.897 1.301 2.946
Ti 2.938 -1.496 7.812
Ti 4.403 -0.971 0.836
Ti 7.391 0.971 5.597
Ti 8.857 1.496 3.051
Ti 5.897 -1.301 7.707
Ti 7.391 -0.971 0.836
Ti 10.315 1.032 5.720
Ti 5.897 -3.401 3.069
Ti 8.857 -1.496 7.812
Ti 10.315 -1.032 0.960
O 5.897 4.662 9.436
O 2.959 2.040 6.506
O 1.464 0.432 2.169
O 4.424 2.681 8.780
O 4.467 2.226 4.009
O 1.464 -0.432 6.930
O 5.897 2.844 1.756
O 2.928 0.264 4.659
O 2.928 -0.264 9.420
O 5.897 2.111 6.399
O 4.391 0.396 2.181
O 7.370 2.681 8.780
O 7.327 2.226 4.009
O 4.391 -0.396 6.942
O 2.959 -2.040 1.745
O 5.897 0.198 4.650
O 5.897 -0.198 9.410
O 8.836 2.040 6.506
O 7.403 0.396 2.181
O 4.467 -2.226 8.769
O 4.424 -2.681 4.020
O 7.403 -0.396 6.942
O 5.897 -2.111 1.639
O 8.866 0.264 4.659
O 8.866 -0.264 9.420
O 5.897 -2.844 6.517
O 10.330 0.432 2.169
O 7.327 -2.226 8.769
O 7.370 -2.681 4.020
O 10.330 -0.432 6.930
O 8.836 -2.040 1.745
O 5.897 -4.662 4.676
```

Properties
Formation energy (no corrections) (meV per atom): -2967
SG: Cmc2_1
V (Å³ per atom): 11.06

Entry 12:
# TcTe2S

TcTe2S after structural relaxation (PBEsol, Alexandria).

```
12
Lattice="3.844 0.000 0.000 -1.922 3.329 0.000 0.000 0.000 23.697" Properties=species:S:1:pos:R:3 pbc="T T T"
Tc 0.000 0.000 0.000
Tc 0.000 2.220 15.798
Tc 1.922 1.110 7.899
Te 0.000 0.000 9.357
Te 0.000 0.000 14.341
Te 0.000 2.220 1.458
Te 0.000 2.220 6.441
Te 1.922 1.110 17.256
Te 1.922 1.110 22.240
S 0.000 0.000 11.849
S 0.000 2.220 3.950
S 1.922 1.110 19.748
```

Properties
Formation energy (no corrections) (meV per atom): 286
SG: R-3m
V (Å³ per atom): 25.28

Entry 13:
# KZrP2

KZrP2 after structural relaxation (PBEsol, Alexandria).

```
8
Lattice="7.381 0.000 0.000 0.000 7.384 0.000 -0.210 0.000 2.780" Properties=species:S:1:pos:R:3 pbc="T T T"
K 0.000 0.000 0.000
K 3.691 3.692 0.000
Zr 0.000 3.692 0.000
Zr 3.691 0.000 0.000
P 1.740 1.846 1.390
P 1.740 5.538 1.390
P 5.431 1.846 1.390
P 5.431 5.538 1.390
```

Properties
Energy relative to the lowest polymorph listed for this composition (meV/atom): 0
SG: C2/m
Formation energy from the elements (eV/atom): -0.21
V (Å³ per atom): 18.94

Entry 14:
# HfHIO2

HfHIO2 after structural relaxation (PBEsol, Alexandria).

```
5
Lattice="4.139 0.000 0.000 0.000 4.139 0.000 0.000 0.000 3.429" Properties=species:S:1:pos:R:3 pbc="T T T"
Hf 0.000 0.000 0.000
H 2.069 2.069 1.715
I 2.069 2.069 0.000
O 0.000 2.069 1.715
O 2.069 0.000 1.715
```

Properties
SG: P4/mmm
Final energy (eV for the cell shown): -26.4
V (Å³ per atom): 11.75

Entry 15:
# CoHS2

CoHS2 after structural relaxation (PBEsol, Alexandria).

```
12
Lattice="2.722 0.000 0.000 -1.361 2.357 0.000 0.000 0.000 20.556" Properties=species:S:1:pos:R:3 pbc="T T T"
Co 0.000 0.000 0.000
Co 0.000 1.571 13.704
Co 1.361 0.786 6.852
H 0.000 0.000 10.278
H 0.000 1.571 3.426
H 1.361 0.786 17.130
S 0.000 0.000 2.071
S 0.000 0.000 18.486
S 0.000 1.571 11.634
S 0.000 1.571 15.775
S 1.361 0.786 4.781
S 1.361 0.786 8.923
```

Properties
Energy relative to the lowest polymorph listed for this composition (meV/atom): 940
SG: R-3m
V (Å³ per atom): 10.99

Entry 16:
# Na6PbO5

Na6PbO5 after structural relaxation (PBEsol, Alexandria).

```
12
Lattice="-3.868 3.868 2.775 3.868 -3.868 2.775 3.868 3.868 -2.775" Properties=species:S:1:pos:R:3 pbc="T T T"
Na 3.868 0.000 0.000
Na 1.533 1.533 0.558
Na 2.335 -2.335 3.333
Na 0.000 3.868 0.000
Na -2.335 2.335 3.333
Na 2.335 2.335 3.333
Pb 0.000 0.000 3.653
O 3.868 -1.761 1.449
O 0.000 0.000 1.534
O 3.868 1.761 1.449
O -1.761 3.868 1.449
O 1.761 3.868 1.449
```

Properties
Formation energy (no corrections) (meV per atom): -1281
SG: I4mm
V (Å³ per atom): 13.84

Entry 17:
# Sn7Os3

Sn7Os3 after structural relaxation (PBEsol, Alexandria).

```
20
Lattice="-4.683 4.683 4.683 4.683 -4.683 4.683 4.683 4.683 -4.683" Properties=species:S:1:pos:R:3 pbc="T T T"
Sn 1.509 1.509 -1.509
Sn 3.175 3.175 -3.175
Sn 1.509 -1.509 1.509
Sn 3.175 -3.175 3.175
Sn 4.683 2.342 0.000
Sn 4.683 0.000 2.342
Sn -1.509 1.509 1.509
Sn 1.509 1.509 1.509
Sn 2.342 4.683 0.000
Sn 2.342 0.000 4.683
Sn -3.175 3.175 3.175
Sn 3.175 3.175 3.175
Sn 0.000 4.683 2.342
Sn 0.000 2.342 4.683
Os 3.221 0.000 0.000
Os 6.146 0.000 0.000
Os 0.000 3.221 0.000
Os 0.000 0.000 3.221
Os 0.000 6.146 0.000
Os 0.000 0.000 6.146
```

Properties
SG: Im-3m
Formation energy from the elements (eV/atom): -0.02
V (Å³ per atom): 20.55

Entry 18:
# Y2ScRuPt

Y2ScRuPt after structural relaxation (PBEsol, Alexandria).

```
5
Lattice="5.227 0.000 0.000 0.000 5.227 0.000 0.000 0.000 4.819" Properties=species:S:1:pos:R:3 pbc="T T T"
Y 0.000 2.614 0.000
Y 2.614 0.000 0.000
Sc 0.000 0.000 2.410
Ru 2.614 2.614 2.410
Pt 2.614 2.614 0.000
```

Properties
SG: P4/mmm
Formation energy from the elements (eV/atom): 0.30
V (Å³ per atom): 26.33

Entry 19:
# Y5Mg

Y5Mg after structural relaxation (PBEsol, Alexandria).

```
12
Lattice="4.868 0.000 0.000 0.000 14.900 0.000 0.000 0.000 4.870" Properties=species:S:1:pos:R:3 pbc="T T T"
Y 0.000 0.000 0.000
Y 0.000 2.454 2.435
Y 0.000 4.934 0.000
Y 0.000 9.967 0.000
Y 0.000 12.447 2.435
Y 2.434 2.517 0.000
Y 2.434 4.996 2.435
Y 2.434 7.450 0.000
Y 2.434 9.904 2.435
Y 2.434 12.384 0.000
Mg 0.000 7.450 2.435
Mg 2.434 0.000 2.435
```

Properties
Energy relative to the lowest polymorph listed for this composition (meV/atom): 26
SG: Cmmm
Formation energy from the elements (eV/atom): 0.01
V (Å³ per atom): 29.43

Entry 20:
# CaPb2

CaPb2 after structural relaxation (PBEsol, Alexandria).

```
3
Lattice="5.012 0.000 0.000 0.000 5.012 0.000 0.000 0.000 3.874" Properties=species:S:1:pos:R:3 pbc="T T T"
Ca 0.000 0.000 0.000
Pb 0.000 2.506 1.937
Pb 2.506 0.000 1.937
```

Properties
SG: P4/mmm
Formation energy from the elements (eV/atom): -0.15
V (Å³ per atom): 32.44

| no. | ρ (g/cm3) |
| --- | --- |
| 1 | 9.73 |
| 2 | 4.54 |
| 3 | 9.35 |
| 4 | 6.70 |
| 5 | 1.25 |
| 6 | 4.95 |
| 7 | 6.46 |
| 8 | 8.14 |
| 9 | 8.45 |
| 10 | 7.15 |
| 11 | 3.88 |
| 12 | 6.33 |
| 13 | 4.21 |
| 14 | 9.57 |
| 15 | 4.69 |
| 16 | 4.25 |
| 17 | 11.33 |
| 18 | 6.54 |
| 19 | 4.41 |
| 20 | 7.75 |